Al3FeSb | GGA-PBEsol | relaxed

Cell and atoms, written as CIF:
```
data_Al3FeSb
_chemical_formula_sum 'Al3 Fe1 Sb1'
_space_group_name_H-M_alt 'P m -3 m'
_space_group_IT_number 221
_space_group_name_Hall '-P 4 2 3'
_cell_length_a 5.1616
_cell_length_b 5.1616
_cell_length_c 5.1616
_cell_angle_alpha 90.00
_cell_angle_beta 90.00
_cell_angle_gamma 90.00
loop_
_atom_site_label
_atom_site_type_symbol
_atom_site_fract_x
_atom_site_fract_y
_atom_site_fract_z
Al1 Al 0.0000 0.0000 0.5000
Fe1 Fe 0.5000 0.5000 0.5000
Sb1 Sb 0.0000 0.0000 0.0000
```

The density of states at the Fermi level is 7.60 states/eV/cell. The total energy is -3.65 eV per atom. The size of the total moment is 3.227 Bohr magnetons per cell.